DFT (PBE with a Hubbard U) results for a relaxed AgWF3 crystal.

Cell lengths 4.320, 4.320, 4.320 Å; angles 90.00, 90.00, 90.00 degrees
Each line ends with the local moment (μB).
Sites, in units of the cell vectors:
Ag1 0.500 0.500 0.500  0.00
W1 0.000 0.000 0.000  2.83
F1 0.000 0.500 0.000  0.04
F2 0.000 0.000 0.500  0.01
F3 0.500 0.000 0.000  0.08

Properties
DFT total energy: -4.694 eV per atom
SG: Pm-3m
Energy above the most stable polymorph in this dataset: 0.0 meV per atom
Mass density: 7.2 Mg/m³